[1]
DFT (GGA-PBE) results for a relaxed structure of LiYNbC2.

Summary:
N(E_F) ... 4.87 states/eV per cell
Magnetic moment ... 0.00 μB/cell
Symmetry ... P4/mmm, No. 123
Crystal system ... tetragonal
Formation enthalpy at 0 K ... 2.09 eV/atom

Lattice parameters (Å, degrees): 4.3333 4.3333 4.1318 90.00 90.00 90.00
With the nearest neighbours (Å) after each atom.
Element x y z (fractional)
Li (0.0000, 0.0000, 0.0000)  2 Y 2.07
Y (0.0000, 0.0000, 0.5000)  2 Li 2.07, 4 C 2.17
Nb (0.5000, 0.5000, 0.0000)  8 C 2.99, 4 Li 3.06
C (0.0000, 0.5000, 0.5000)  2 Y 2.17
C (0.5000, 0.0000, 0.5000)  2 Y 2.17

---

[2]
DFT (GGA-PBE) results for a relaxed structure of LiNbZnC2.

Summary:
N(E_F) ... 1.62 states/eV per cell
Magnetic moment ... 0.00 μB/cell
Symmetry ... P4/mmm, No. 123
Crystal system ... tetragonal
Formation enthalpy at 0 K ... 1.20 eV/atom

Lattice parameters (Å, degrees): 4.1918 4.1918 5.0999 90.00 90.00 90.00
With the nearest neighbours (Å) after each atom.
Element x y z (fractional)
Li (0.0000, 0.0000, 0.0000)  4 Zn 2.96, 8 C 3.30
Nb (0.5000, 0.5000, 0.5000)  4 C 2.10
Zn (0.5000, 0.5000, 0.0000)  2 Nb 2.55
C (0.0000, 0.5000, 0.5000)  2 Nb 2.10
C (0.5000, 0.0000, 0.5000)  2 Nb 2.10

---

[3]
DFT (GGA-PBE) results for a relaxed structure of LiNdC.

Summary:
N(E_F) ... 2.98 states/eV per cell
Magnetic moment ... 0.00 μB/cell
Offset from the most stable computed form ... 0 meV/atom
Symmetry ... Cm, No. 8
Crystal system ... monoclinic
Formation enthalpy at 0 K ... -0.05 eV/atom

Lattice parameters (Å, degrees): 4.3237 4.3237 10.0200 105.99 105.99 49.79
With the nearest neighbours (Å) after each atom.
Element x y z (fractional)
Li (0.0000, 0.0000, 0.0000)  3 Li 2.73-2.81
Li (0.6458, 0.6458, 0.8510)  3 Li 2.73-2.81
Nd (0.2518, 0.2518, 0.5835)  3 C 2.43-2.59
Nd (0.8411, 0.8411, 0.2881)  3 C 2.42-2.59
C (0.4860, 0.4860, 0.4713)  1 C 1.35
C (0.6076, 0.6076, 0.4000)  1 C 1.35